No. 1
First-principles (PBE-GGA) data for LiGa2B2 after structural relaxation, as listed in the Alexandria database.

a = 6.8012 Å, b = 6.8012 Å, c = 2.6497 Å
α = 90.00°, β = 90.00°, γ = 90.00°
Closest atoms and distances in Å follow each position.
Element x y z (fractional)
B1 0.1597 0.6597 0.5000  6 Ga 2.33-2.44
B2 0.6597 0.8403 0.5000  6 Ga 2.33-2.44
B3 0.8403 0.3403 0.5000  6 Ga 2.33-2.44
B4 0.3403 0.1597 0.5000  6 Ga 2.33-2.44
Ga1 0.3590 0.8590 0.0000  6 B 2.33-2.44
Ga2 0.8590 0.6410 0.0000  6 B 2.33-2.44
Ga3 0.6410 0.1410 0.0000  6 B 2.33-2.44
Ga4 0.1410 0.3590 0.0000  6 B 2.33-2.44
Li1 0.0000 0.0000 0.0000  4 Ga 2.62, 2 Li 2.65, 8 B 2.88
Li2 0.5000 0.5000 0.0000  4 Ga 2.62, 2 Li 2.65, 8 B 2.88

Results
**Raw total energy**: -3.541 eV/atom
**M_tot**: 0.0 μB/f.u.
**Energy of formation**: 16.7 kcal/mol of atoms
**Polymorph energy (0 for the lowest one)**: 262 meV per atom

---

No. 2
First-principles (PBE-GGA) data for LiGa2B after structural relaxation, as listed in the Alexandria database.

a = 7.2870 Å, b = 7.2870 Å, c = 5.6372 Å
α = 49.73°, β = 49.73°, γ = 90.00°
Closest atoms and distances in Å follow each position.
Element x y z (fractional)
B1 0.0000 0.0000 0.0000  4 Ga 2.16, 2 Li 2.29
B2 0.7500 0.2500 0.5000  4 Ga 2.16, 2 Li 2.29
Ga1 0.7365 0.1250 0.2500  2 B 2.16
Ga2 0.0135 0.6250 0.2500  2 B 2.16
Ga3 0.3750 0.2635 0.7500  2 B 2.16
Ga4 0.8750 0.9865 0.7500  2 B 2.16
Li1 0.5000 0.5000 0.0000  2 B 2.29
Li2 0.2500 0.7500 0.5000  2 B 2.29

Results
**Raw total energy**: -3.469 eV/atom
**M_tot**: 0.0 μB/f.u.
**Energy of formation**: 4.4 kcal/mol of atoms

---

No. 3
First-principles (PBE-GGA) data for LiGa2B2 after structural relaxation, as listed in the Alexandria database.

a = 3.4836 Å, b = 3.4836 Å, c = 5.6938 Å
α = 72.19°, β = 72.19°, γ = 90.00°
Closest atoms and distances in Å follow each position.
Element x y z (fractional)
B1 0.7500 0.2500 0.5000  4 Ga 2.19
B2 0.2500 0.7500 0.5000  4 Ga 2.19
Ga1 0.3788 0.3788 0.2423  4 B 2.19
Ga2 0.6212 0.6212 0.7577  4 B 2.19
Li1 0.0000 0.0000 0.0000  8 Ga 2.76

Results
**Raw total energy**: -3.803 eV/atom
**M_tot**: 0.0 μB/f.u.
**Energy of formation**: 10.6 kcal/mol of atoms
**Polymorph energy (0 for the lowest one)**: 0 meV per atom